[1]
Entry from Alexandria: a geometry-optimized TiNbNi6 structure (PBE).

Values from the calculation:
- Total DFT energy (no corrections): -6.88 eV/atom
- Size of the total moment: 0.00 μB/atom

Unit cell a=6.3210 b=6.3210 c=10.3506 alpha=90.00 beta=90.00 gamma=109.50
Atoms (fractional coordinates):
1 Ti 0.7484 0.2516 0.7500
2 Ti 0.2516 0.7484 0.7500
3 Ti 0.0000 0.0000 0.5029
4 Ti 0.0000 0.0000 0.9971
5 Nb 0.7484 0.2516 0.2500
6 Nb 0.2516 0.7484 0.2500
7 Nb 0.5000 0.5000 0.5024
8 Nb 0.5000 0.5000 0.9976
9 Ni 0.7515 0.2485 0.5032
10 Ni 0.6276 0.8773 0.3780
11 Ni 0.3724 0.1227 0.3780
12 Ni 0.2485 0.7515 0.5032
13 Ni 0.1227 0.3724 0.3780
14 Ni 0.8773 0.6276 0.3780
15 Ni 0.5000 0.5000 0.7500
16 Ni 0.3737 0.1226 0.6270
17 Ni 0.1226 0.3737 0.6270
18 Ni 0.7515 0.2485 0.9968
19 Ni 0.6263 0.8774 0.8730
20 Ni 0.3737 0.1226 0.8730
21 Ni 0.2485 0.7515 0.9968
22 Ni 0.1226 0.3737 0.8730
23 Ni 0.8774 0.6263 0.8730
24 Ni 0.5000 0.5000 0.2500
25 Ni 0.3724 0.1227 0.1220
26 Ni 0.1227 0.3724 0.1220
27 Ni 0.0000 0.0000 0.7500
28 Ni 0.8774 0.6263 0.6270
29 Ni 0.6263 0.8774 0.6270
30 Ni 0.0000 0.0000 0.2500
31 Ni 0.8773 0.6276 0.1220
32 Ni 0.6276 0.8773 0.1220

=====

[2]
Entry from Alexandria: a geometry-optimized TiNb4Ni2 structure (PBE).

Values from the calculation:
- Total DFT energy (no corrections): -7.54 eV/atom
- Size of the total moment: 0.00 μB/atom

Unit cell a=4.6113 b=4.6113 c=7.0715 alpha=70.97 beta=70.97 gamma=90.00
Atoms (fractional coordinates):
1 Ni 0.6011 0.6011 0.7978
2 Ni 0.3989 0.3989 0.2022
3 Nb 0.7880 0.7880 0.4240
4 Nb 0.2120 0.2120 0.5760
5 Nb 0.0000 0.5000 0.0000
6 Nb 0.5000 0.0000 0.0000
7 Ti 0.0000 0.0000 0.0000

=====

[3]
Entry from Alexandria: a geometry-optimized TiNb2Ni structure (PBE).

Values from the calculation:
- Energy above the most stable polymorph in this dataset: 295 meV/atom
- Size of the total moment: 0.00 μB/atom

Unit cell a=7.2703 b=7.2703 c=5.7530 alpha=50.81 beta=50.81 gamma=90.00
Atoms (fractional coordinates):
1 Ni 0.0000 0.0000 0.0000
2 Ni 0.7500 0.2500 0.5000
3 Nb 0.6562 0.1250 0.2500
4 Nb 0.0938 0.6250 0.2500
5 Nb 0.3750 0.3438 0.7500
6 Nb 0.8750 0.9062 0.7500
7 Ti 0.5000 0.5000 0.0000
8 Ti 0.2500 0.7500 0.5000

=====

[4]
Entry from Alexandria: a geometry-optimized Ti3NbNi2 structure (PBE).

Values from the calculation:
- Energy above the most stable polymorph in this dataset: 122 meV/atom
- Size of the total moment: 0.30 μB/atom

Unit cell a=4.3422 b=4.3422 c=11.0827 alpha=90.00 beta=90.00 gamma=120.00
Site moments in Bohr magnetons follow the coordinates.
Atoms (fractional coordinates):
1 Ti 0.0000 0.0000 0.5000  0.76
2 Ti 0.0000 0.0000 0.0000  0.76
3 Ti 0.6667 0.3333 0.5998  0.28
4 Ti 0.3333 0.6667 0.0998  0.28
5 Ti 0.6667 0.3333 0.9002  0.28
6 Ti 0.3333 0.6667 0.4002  0.28
7 Nb 0.0000 0.0000 0.2500  0.02
8 Nb 0.0000 0.0000 0.7500  0.02
9 Ni 0.6667 0.3333 0.3653  0.09
10 Ni 0.3333 0.6667 0.6347  0.09
11 Ni 0.3333 0.6667 0.8653  0.09
12 Ni 0.6667 0.3333 0.1347  0.09

=====

- Look up the size of the total moment of the third one.
  0.00 μB/atom

=====

- Which of these has the highest size of the total moment?
  Ti3NbNi2